No. 1
A relaxed structure of ZrSbH. Source: Alexandria, functional GGA-PBE.

Calculated values
space group	C2/m, No. 12
excess energy over the best structure of this formula in the dataset	34.9	kJ/mol of atoms
E	-33.8	eV/cell

Cell lengths 3.983, 5.502, 5.681 Å; angles 107.27, 90.00, 111.22 degrees
Fractional coordinates of all 6 atoms:
Sb (0.367, 0.734, 0.773)
Zr (0.092, 0.184, 0.803)
Zr (0.908, 0.816, 0.197)
H (0.911, 0.823, 0.545)
H (0.089, 0.177, 0.455)
Sb (0.633, 0.266, 0.227)



No. 2
A relaxed structure of Zr6Sb3H. Source: Alexandria, functional GGA-PBE.

Calculated values
space group	Cmc2_1, No. 36
E	-145.0	eV/cell

Cell lengths 4.870, 9.266, 9.266 Å; angles 103.57, 90.00, 90.00 degrees
Fractional coordinates of all 20 atoms:
Sb (0.655, 0.266, 0.068)
Zr (0.157, 0.066, 0.934)
Zr (0.162, 0.739, 0.261)
H (0.056, 0.202, 0.798)
Zr (0.662, 0.261, 0.739)
Sb (0.660, 0.597, 0.403)
Sb (0.155, 0.068, 0.266)
Zr (0.659, 0.264, 0.403)
Zr (0.159, 0.736, 0.597)
Zr (0.162, 0.074, 0.591)
Zr (0.657, 0.934, 0.066)
Zr (0.662, 0.926, 0.409)
Sb (0.655, 0.932, 0.734)
Zr (0.662, 0.591, 0.074)
Sb (0.155, 0.734, 0.932)
Sb (0.160, 0.403, 0.597)
H (0.556, 0.798, 0.202)
Zr (0.162, 0.409, 0.926)
Zr (0.159, 0.403, 0.264)
Zr (0.659, 0.597, 0.736)



No. 3
A relaxed structure of ZrSb2H. Source: Alexandria, functional GGA-PBE.

Calculated values
space group	Fm-3m, No. 225
excess energy over the best structure of this formula in the dataset	67.6	kJ/mol of atoms
E	-18.7	eV/cell

Cell lengths 4.939, 4.939, 4.939 Å; angles 60.00, 60.00, 60.00 degrees
Site moments in Bohr magnetons follow the coordinates.
Fractional coordinates of all 4 atoms:
H (0.000, 0.000, 0.000)  0.17
Sb (0.750, 0.750, 0.750)  0.04
Sb (0.250, 0.250, 0.250)  0.04
Zr (0.500, 0.500, 0.500)  0.13



No. 4
A relaxed structure of Zr4Sb3H. Source: Alexandria, functional GGA-PBE.

Calculated values
space group	Pmn2_1, No. 31
E	-105.0	eV/cell

Cell lengths 5.593, 7.552, 8.873 Å; angles 90.00, 90.00, 90.00 degrees
Fractional coordinates of all 16 atoms:
Sb (0.584, 0.380, 0.235)
Zr (0.585, 0.773, 0.313)
Zr (0.087, 0.862, 0.000)
Sb (0.584, 0.380, 0.765)
Zr (0.069, 0.878, 0.500)
H (0.435, 0.891, 0.500)
Zr (0.587, 0.138, 0.500)
Zr (0.085, 0.227, 0.813)
Sb (0.087, 0.261, 0.500)
Zr (0.085, 0.227, 0.187)
Zr (0.585, 0.773, 0.687)
Zr (0.569, 0.122, 0.000)
Sb (0.587, 0.739, 0.000)
Sb (0.084, 0.620, 0.265)
H (0.935, 0.109, 0.000)
Sb (0.084, 0.620, 0.735)



No. 5
A relaxed structure of Zr3SbH3. Source: Alexandria, functional GGA-PBE.

Calculated values
space group	R-3, No. 148
excess energy over the best structure of this formula in the dataset	15.3	kJ/mol of atoms
E	-85.0	eV/cell

Cell lengths 6.003, 6.003, 7.672 Å; angles 66.97, 66.97, 60.00 degrees
Fractional coordinates of all 14 atoms:
H (0.866, 0.526, 0.399)
H (0.134, 0.474, 0.601)
H (0.209, 0.866, 0.399)
H (0.791, 0.134, 0.601)
Sb (0.666, 0.666, 0.001)
H (0.526, 0.209, 0.399)
Zr (0.901, 0.216, 0.298)
Zr (0.784, 0.415, 0.702)
Zr (0.216, 0.585, 0.298)
H (0.474, 0.791, 0.601)
Zr (0.099, 0.784, 0.702)
Sb (0.334, 0.334, 0.999)
Zr (0.585, 0.901, 0.298)
Zr (0.415, 0.099, 0.702)



No. 6
A relaxed structure of Zr6Sb2H. Source: Alexandria, functional GGA-PBE.

Calculated values
space group	P2_1/c, No. 14
E	-134.3	eV/cell

Cell lengths 5.855, 6.963, 9.161 Å; angles 90.00, 90.00, 90.00 degrees
Fractional coordinates of all 18 atoms:
Zr (0.873, 0.703, 0.531)
H (0.000, 0.000, 0.500)
H (0.500, 0.500, 0.000)
Zr (0.373, 0.797, 0.031)
Zr (0.127, 0.297, 0.469)
Zr (0.129, 0.298, 0.032)
Zr (0.629, 0.202, 0.532)
Sb (0.600, 0.902, 0.750)
Zr (0.620, 0.481, 0.253)
Zr (0.627, 0.203, 0.969)
Sb (0.400, 0.098, 0.250)
Zr (0.880, 0.981, 0.247)
Sb (0.900, 0.402, 0.750)
Zr (0.371, 0.798, 0.468)
Sb (0.100, 0.598, 0.250)
Zr (0.120, 0.019, 0.753)
Zr (0.380, 0.519, 0.747)
Zr (0.871, 0.702, 0.968)



No. 7
A relaxed structure of Zr2SbH. Source: Alexandria, functional GGA-PBE.

Calculated values
space group	Cmcm, No. 63
excess energy over the best structure of this formula in the dataset	0.0	kJ/mol of atoms
E	-53.2	eV/cell

Cell lengths 4.892, 3.844, 7.646 Å; angles 104.56, 90.00, 90.00 degrees
Fractional coordinates of all 8 atoms:
Zr (0.750, 0.435, 0.870)
Sb (0.250, 0.902, 0.805)
Zr (0.250, 0.565, 0.130)
H (0.250, 0.700, 0.400)
Zr (0.750, 0.760, 0.519)
Sb (0.750, 0.098, 0.195)
Zr (0.250, 0.240, 0.481)
H (0.750, 0.300, 0.600)



No. 8
A relaxed structure of Zr4SbH. Source: Alexandria, functional GGA-PBE.

Calculated values
space group	C2/c, No. 15
E	-86.0	eV/cell

Cell lengths 5.563, 5.570, 9.191 Å; angles 118.50, 107.57, 90.05 degrees
Fractional coordinates of all 12 atoms:
H (0.500, 0.000, 0.500)
Zr (0.424, 0.913, 0.204)
Zr (0.074, 0.097, 0.409)
Zr (0.666, 0.403, 0.591)
Zr (0.576, 0.087, 0.796)
Zr (0.926, 0.903, 0.591)
Zr (0.334, 0.597, 0.409)
Zr (0.221, 0.588, 0.797)
Sb (0.797, 0.750, 0.000)
Zr (0.779, 0.412, 0.203)
H (0.000, 0.500, 0.500)
Sb (0.203, 0.250, 0.000)



No. 9
A relaxed structure of ZrSb2H. Source: Alexandria, functional GGA-PBE.

Calculated values
space group	Cm, No. 8
excess energy over the best structure of this formula in the dataset	0.0	kJ/mol of atoms
E	-21.5	eV/cell

Cell lengths 3.402, 3.402, 8.837 Å; angles 90.06, 101.04, 120.00 degrees
Fractional coordinates of all 4 atoms:
H (0.043, 0.272, 0.315)
Sb (0.562, 0.032, 0.594)
Sb (0.187, 0.843, 0.030)
Zr (0.707, 0.604, 0.311)



No. 10
A relaxed structure of ZrSbH. Source: Alexandria, functional GGA-PBE.

Calculated values
space group	P6_3/mmc, No. 194
excess energy over the best structure of this formula in the dataset	9.9	kJ/mol of atoms
E	-35.3	eV/cell

Cell lengths 3.721, 3.721, 8.285 Å; angles 90.00, 90.00, 120.00 degrees
Fractional coordinates of all 6 atoms:
H (0.333, 0.666, 0.250)
Zr (0.667, 0.333, 0.250)
Sb (0.000, 0.000, 0.500)
H (0.667, 0.334, 0.750)
Sb (0.000, 0.000, 0.000)
Zr (0.333, 0.667, 0.750)



No. 11
A relaxed structure of Zr2SbH. Source: Alexandria, functional GGA-PBE.

Calculated values
space group	Fm-3m, No. 225
excess energy over the best structure of this formula in the dataset	44.7	kJ/mol of atoms
E	-24.7	eV/cell

Cell lengths 4.769, 4.769, 4.769 Å; angles 60.00, 60.00, 60.00 degrees
Fractional coordinates of all 4 atoms:
H (0.000, 0.000, 0.000)
Zr (0.250, 0.250, 0.250)
Sb (0.500, 0.500, 0.500)
Zr (0.750, 0.750, 0.750)



No. 12
A relaxed structure of Zr2SbH. Source: Alexandria, functional GGA-PBE.

Calculated values
space group	I-42d, No. 122
excess energy over the best structure of this formula in the dataset	0.0	kJ/mol of atoms
E	-53.2	eV/cell

Cell lengths 6.728, 6.728, 5.723 Å; angles 54.00, 54.00, 90.00 degrees
Fractional coordinates of all 8 atoms:
Sb (0.750, 0.250, 0.500)
Zr (0.523, 0.125, 0.250)
H (0.250, 0.750, 0.500)
Zr (0.375, 0.477, 0.750)
Sb (0.000, 0.000, 0.000)
Zr (0.227, 0.625, 0.250)
H (0.500, 0.500, 0.000)
Zr (0.875, 0.773, 0.750)



No. 13
A relaxed structure of Zr2SbH. Source: Alexandria, functional GGA-PBE.

Calculated values
space group	P-3m1, No. 164
excess energy over the best structure of this formula in the dataset	11.9	kJ/mol of atoms
E	-26.1	eV/cell

Cell lengths 3.616, 3.617, 6.485 Å; angles 89.99, 89.99, 60.01 degrees
Fractional coordinates of all 4 atoms:
Zr (0.007, 0.440, 0.240)
Zr (0.340, 0.773, 0.600)
H (0.673, 0.107, 0.420)
Sb (0.674, 0.107, 0.920)



No. 14
A relaxed structure of ZrSbH. Source: Alexandria, functional GGA-PBE.

Calculated values
space group	P-6m2, No. 187
excess energy over the best structure of this formula in the dataset	0.0	kJ/mol of atoms
E	-18.0	eV/cell

Cell lengths 3.989, 3.778, 3.778 Å; angles 120.00, 90.00, 90.00 degrees
Fractional coordinates of all 3 atoms:
Zr (0.167, 0.667, 0.333)
H (0.167, 0.000, 0.000)
Sb (0.667, 0.333, 0.667)



No. 15
A relaxed structure of Zr2SbH3. Source: Alexandria, functional GGA-PBE.

Calculated values
space group	C2/m, No. 12
E	-68.4	eV/cell

Cell lengths 3.574, 6.641, 7.199 Å; angles 109.97, 90.00, 105.61 degrees
Fractional coordinates of all 12 atoms:
H (0.605, 0.209, 0.681)
H (0.689, 0.378, 0.465)
H (0.311, 0.622, 0.535)
H (0.046, 0.092, 0.387)
H (0.395, 0.791, 0.319)
Sb (0.850, 0.700, 0.947)
Zr (0.178, 0.356, 0.653)
Zr (0.466, 0.933, 0.761)
Zr (0.534, 0.067, 0.239)
H (0.954, 0.908, 0.613)
Sb (0.150, 0.300, 0.053)
Zr (0.822, 0.644, 0.347)



No. 16
A relaxed structure of Zr4Sb3H2. Source: Alexandria, functional GGA-PBE.

Calculated values
space group	C2/m, No. 12
E	-57.9	eV/cell

Cell lengths 3.980, 5.596, 8.330 Å; angles 106.19, 90.00, 110.83 degrees
Fractional coordinates of all 9 atoms:
Zr (0.128, 0.256, 0.395)
Sb (0.599, 0.198, 0.690)
Sb (0.000, 0.000, 0.000)
H (0.298, 0.596, 0.621)
Zr (0.712, 0.425, 0.125)
Zr (0.872, 0.744, 0.605)
Zr (0.288, 0.575, 0.875)
H (0.702, 0.404, 0.379)
Sb (0.401, 0.802, 0.310)



No. 17
A relaxed structure of Zr4SbH2. Source: Alexandria, functional GGA-PBE.

Calculated values
space group	Cc, No. 9
E	-95.5	eV/cell

Cell lengths 7.087, 7.087, 6.963 Å; angles 102.93, 102.94, 124.15 degrees
Fractional coordinates of all 14 atoms:
H (0.623, 0.422, 0.300)
Zr (0.453, 0.699, 0.874)
H (0.572, 0.872, 0.200)
Zr (0.829, 0.575, 0.626)
H (0.672, 0.373, 0.800)
Zr (0.949, 0.203, 0.374)
Sb (0.003, 0.003, 0.000)
Zr (0.825, 0.579, 0.126)
Zr (0.432, 0.553, 0.260)
Zr (0.422, 0.043, 0.241)
Zr (0.803, 0.182, 0.760)
Sb (0.253, 0.753, 0.500)
Zr (0.293, 0.172, 0.741)
H (0.122, 0.322, 0.700)



No. 18
A relaxed structure of Zr3Sb2H2. Source: Alexandria, functional GGA-PBE.

Calculated values
space group	P2_1/c, No. 14
E	-88.5	eV/cell

Cell lengths 7.299, 6.492, 5.591 Å; angles 90.00, 68.44, 90.00 degrees
Fractional coordinates of all 14 atoms:
Zr (0.716, 0.687, 0.398)
Sb (0.088, 0.409, 0.192)
H (0.067, 0.091, 0.623)
Zr (0.216, 0.813, 0.398)
Sb (0.412, 0.909, 0.808)
Zr (0.500, 0.500, 0.000)
Sb (0.912, 0.591, 0.808)
Zr (0.000, 0.000, 0.000)
H (0.567, 0.409, 0.623)
H (0.933, 0.909, 0.377)
Sb (0.588, 0.091, 0.192)
Zr (0.284, 0.313, 0.602)
H (0.433, 0.591, 0.377)
Zr (0.784, 0.187, 0.602)



No. 19
A relaxed structure of Zr2SbH. Source: Alexandria, functional GGA-PBE.

Calculated values
space group	R-3m, No. 166
excess energy over the best structure of this formula in the dataset	18.6	kJ/mol of atoms
E	-25.8	eV/cell

Cell lengths 3.503, 3.503, 7.088 Å; angles 75.69, 75.69, 60.00 degrees
Fractional coordinates of all 4 atoms:
Zr (0.274, 0.274, 0.177)
Zr (0.726, 0.726, 0.823)
Sb (0.500, 0.500, 0.500)
H (0.000, 0.000, 0.000)



No. 20
A relaxed structure of Zr3SbH3. Source: Alexandria, functional GGA-PBE.

Calculated values
space group	Pm-3n, No. 223
excess energy over the best structure of this formula in the dataset	0.0	kJ/mol of atoms
E	-87.2	eV/cell

Cell lengths 5.774, 5.774, 5.774 Å; angles 90.00, 90.00, 90.00 degrees
Fractional coordinates of all 14 atoms:
Zr (0.500, 0.000, 0.250)
Zr (0.750, 0.500, 0.000)
Zr (0.250, 0.500, 0.000)
Zr (0.000, 0.250, 0.500)
Zr (0.500, 0.000, 0.750)
Zr (0.000, 0.750, 0.500)
Sb (0.000, 0.000, 0.000)
H (0.000, 0.500, 0.250)
H (0.500, 0.750, 0.000)
Sb (0.500, 0.500, 0.500)
H (0.000, 0.500, 0.750)
H (0.250, 0.000, 0.500)
H (0.500, 0.250, 0.000)
H (0.750, 0.000, 0.500)



No. 21
A relaxed structure of ZrSb2H. Source: Alexandria, functional GGA-PBE.

Calculated values
space group	I-42d, No. 122
excess energy over the best structure of this formula in the dataset	32.9	kJ/mol of atoms
E	-40.3	eV/cell

Cell lengths 6.706, 6.706, 5.852 Å; angles 55.04, 55.04, 90.00 degrees
Fractional coordinates of all 8 atoms:
Sb (0.218, 0.625, 0.250)
Sb (0.375, 0.468, 0.750)
Zr (0.750, 0.250, 0.500)
H (0.250, 0.750, 0.500)
Zr (0.000, 0.000, 0.000)
Sb (0.532, 0.125, 0.250)
Sb (0.875, 0.782, 0.750)
H (0.500, 0.500, 0.000)



No. 22
A relaxed structure of Zr2SbH2. Source: Alexandria, functional GGA-PBE.

Calculated values
space group	I4/mmm, No. 139
E	-30.5	eV/cell

Cell lengths 3.525, 3.525, 6.399 Å; angles 74.01, 74.01, 90.00 degrees
Fractional coordinates of all 5 atoms:
Zr (0.638, 0.638, 0.723)
Zr (0.362, 0.362, 0.277)
H (0.750, 0.250, 0.500)
H (0.250, 0.750, 0.500)
Sb (0.000, 0.000, 0.000)



No. 23
A relaxed structure of ZrSbH. Source: Alexandria, functional GGA-PBE.

Calculated values
space group	C2/m, No. 12
excess energy over the best structure of this formula in the dataset	20.6	kJ/mol of atoms
E	-34.7	eV/cell

Cell lengths 3.790, 3.237, 10.938 Å; angles 80.01, 80.02, 54.17 degrees
Fractional coordinates of all 6 atoms:
Sb (0.776, 0.607, 0.841)
H (0.637, 0.160, 0.567)
Zr (0.239, 0.897, 0.626)
H (0.363, 0.840, 0.433)
Zr (0.761, 0.103, 0.374)
Sb (0.224, 0.393, 0.159)



Ordered DOS(E_F) results: 1.99 16.81 2.54 7.06 8.25 14.59 3.83 9.30 1.62 0.53 0.07 3.95 0.75 0.15 5.99 3.64 6.39 7.65 3.38 5.31 3.63 3.16 1.79; unit states/eV/cell.